P3RuN: relaxed, PBE-GGA.

Values from the calculation:
For the theoretical density, the calculation gives 4.702 Mg/m³.

abc: 3.731 4.608 4.794
angles: 72.71 69.09 85.68
Space group P1 (No. 1)
Inequivalent atoms, fractional coordinates:
P: 0.000 0.000 0.000
P: 0.157 0.478 0.719
P: 0.670 0.080 0.431
Ru: 0.557 0.730 0.880
N: 0.422 0.390 0.369

P3Ru2N: relaxed, PBE-GGA.

Values from the calculation:
For the theoretical density, the calculation gives 6.153 Mg/m³.

abc: 3.971 4.382 5.304
angles: 69.69 75.27 89.34
Space group P1 (No. 1)
Inequivalent atoms, fractional coordinates:
P: 0.000 0.000 0.000
P: 0.313 0.110 0.405
P: 0.644 0.506 0.625
Ru: 0.081 0.613 0.787
Ru: 0.440 0.706 0.211
N: 0.680 0.256 0.447

| no. | magnetization (μB/atom) | DOS(E_F) (states/eV/atom) | formation energy (no corrections) (meV/atom) |
| --- | --- | --- | --- |
| 1 | 0.00 | 0.02 | -165.0 |
| 2 | 0.00 | 0.07 | -62.5 |